Below is an optimized crystal structure of PmNd4, with properties calculated at the PBE-GGA level.

Unit cell a=5.8579 b=5.8579 c=5.8579 alpha=90.00 beta=90.00 gamma=90.00
Closest atoms and distances in Å follow each position.
Element x y z (fractional)
Nd  0.0000  0.5000  0.5000  2 Pm 2.93
Nd  0.5000  0.0000  0.5000  2 Pm 2.93
Nd  0.5000  0.5000  0.0000  2 Pm 2.93
Nd  0.0000  0.0000  0.0000  12 Nd 4.14
Pm  0.5000  0.5000  0.5000  6 Nd 2.93

- Energy above the most stable polymorph in this dataset: 0.590 eV/atom
- DFT formation energy: 0.60 eV per atom

Below is an optimized crystal structure of HAuN2, with properties calculated at the PBE-GGA level.

Unit cell a=3.6949 b=3.6949 c=3.6949 alpha=60.00 beta=60.00 gamma=60.00
Closest atoms and distances in Å follow each position.
Element x y z (fractional)
H  0.0000  0.0000  0.0000  8 N 2.26
N  0.7500  0.7500  0.7500  4 Au 2.26, 4 H 2.26
N  0.2500  0.2500  0.2500  4 H 2.26, 4 Au 2.26
Au  0.5000  0.5000  0.5000  8 N 2.26

- Energy above the most stable polymorph in this dataset: 1.077 eV/atom

Below is an optimized crystal structure of Cd11Pd9Pt4, with properties calculated at the PBE-GGA level.

Unit cell a=3.0187 b=11.8741 c=11.8741 alpha=99.33 beta=90.00 gamma=90.00
Closest atoms and distances in Å follow each position.
Element x y z (fractional)
Pd  0.5000  0.8577  0.3840  8 Cd 2.81-2.98, 1 Pt 2.85, 3 Pd 3.02-3.14
Pd  0.5000  0.5000  0.5000  4 Pt 2.70, 4 Cd 2.93, 2 Pd 3.02
Pd  0.5000  0.6160  0.1423  8 Cd 2.81-2.98, 1 Pt 2.85, 3 Pd 3.02-3.14
Pd  0.5000  0.2024  0.0228  8 Cd 2.81-2.85, 3 Pd 3.02-3.14
Pd  0.5000  0.0228  0.2024  8 Cd 2.81-2.85, 3 Pd 3.02-3.14
Pd  0.5000  0.7976  0.9772  8 Cd 2.81-2.85, 3 Pd 3.02-3.14
Pd  0.5000  0.9772  0.7976  8 Cd 2.81-2.85, 3 Pd 3.02-3.14
Pd  0.5000  0.3840  0.8577  8 Cd 2.81-2.98, 1 Pt 2.85, 3 Pd 3.02-3.14
Pd  0.5000  0.1423  0.6160  8 Cd 2.81-2.98, 1 Pt 2.85, 3 Pd 3.02-3.14
Pt  0.5000  0.4336  0.2718  2 Pd 2.70-2.85, 6 Cd 2.83-2.92, 3 Pt 2.93-3.02
Pt  0.5000  0.5664  0.7282  2 Pd 2.70-2.85, 6 Cd 2.83-2.92, 3 Pt 2.93-3.02
Pt  0.5000  0.2718  0.4336  2 Pd 2.70-2.85, 6 Cd 2.83-2.92, 3 Pt 2.93-3.02
Pt  0.5000  0.7282  0.5664  2 Pd 2.70-2.85, 6 Cd 2.83-2.92, 3 Pt 2.93-3.02
Cd  0.0000  0.9327  0.5925  2 Pt 2.83, 6 Pd 2.84-2.91, 4 Cd 2.92-3.08
Cd  0.0000  0.7708  0.7708  4 Pt 2.83, 4 Pd 2.85, 4 Cd 3.02-3.08
Cd  0.0000  0.0000  0.0000  8 Pd 2.81, 2 Cd 3.02
Cd  0.0000  0.4075  0.0673  2 Pt 2.83, 6 Pd 2.84-2.91, 4 Cd 2.92-3.08
Cd  0.0000  0.8183  0.1817  8 Pd 2.81-2.84, 2 Cd 3.02
Cd  0.0000  0.0673  0.4075  2 Pt 2.83, 6 Pd 2.84-2.91, 4 Cd 2.92-3.08
Cd  0.0000  0.6389  0.3611  4 Pt 2.92, 6 Pd 2.93-2.98, 3 Cd 3.02-3.25
Cd  0.0000  0.1817  0.8183  8 Pd 2.81-2.84, 2 Cd 3.02
Cd  0.0000  0.2292  0.2292  4 Pt 2.83, 4 Pd 2.85, 4 Cd 3.02-3.08
Cd  0.0000  0.3611  0.6389  4 Pt 2.92, 6 Pd 2.93-2.98, 3 Cd 3.02-3.25
Cd  0.0000  0.5925  0.9327  2 Pt 2.83, 6 Pd 2.84-2.91, 4 Cd 2.92-3.08

- DFT formation energy: -0.33 eV per atom

D(E_F) (computed, states/eV/cell): 10.1 0.7 5.7